AcSnTe2S: relaxed, PBE-GGA.

Structure (POSCAR):
```
AcSnTe2S
1.0
4.589 0.000 0.000
0.000 4.589 0.000
0.000 0.000 15.119
Ac Sn Te S
2 2 4 2
Cartesian
1.147 1.147 1.871
3.441 3.441 13.248
1.147 1.147 9.034
3.441 3.441 6.085
1.147 1.147 5.809
1.147 1.147 11.975
3.441 3.441 3.144
3.441 3.441 9.310
1.147 3.441 0.000
3.441 1.147 0.000
```

Values from the calculation:
Density of states at the Fermi level = 6.11 states/eV per cell
Formation energy (no corrections) = -492 kJ/mol of formula units